# 1
Material: Cs6SeBr
Method: DFT, PBE
State: relaxed

It has space group C2/m (No. 12), with a = 9.0020 Å, b = 16.7525 Å, c = 8.9887 Å, α = 90.00°, β = 108.17° and γ = 90.00°. The asymmetric unit holds Cs at (0.2350, 0.1456, 0.2424), Cs at (0.2450, 0.0000, 0.7627), Se at (0.0000, 0.0000, 0.0000) and Br at (0.0000, 0.5000, 0.5000).

Its volume is 643.98 Å³/f.u. The value obtained for the formation energy from raw total energies is -623 kJ/mol of formula units.

# 2
Material: CsSe2Br
Method: DFT, PBE
State: relaxed

It has space group P2_1/c (No. 14), with a = 10.7690 Å, b = 5.9652 Å, c = 14.0514 Å, α = 90.00°, β = 120.27° and γ = 90.00°. The asymmetric unit holds Cs at (0.1390, 0.2192, 0.4272), Se at (0.3554, 0.5845, 0.7016), Se at (0.4933, 0.6721, 0.1570) and Br at (0.0689, 0.2195, 0.1504).

Its volume is 194.90 Å³/f.u. The value obtained for the formation energy from raw total energies is -322 kJ/mol of formula units.

# 3
Material: CsSe2Br
Method: DFT, PBE
State: relaxed

It has space group I-42d (No. 122), with a = 5.1444 Å, b = 5.1444 Å, c = 22.4006 Å, α = 90.00°, β = 90.00° and γ = 90.00°. The asymmetric unit holds Cs at (0.0000, 0.0000, 0.0000), Se at (0.0602, 0.7500, 0.6250) and Br at (0.0000, 0.0000, 0.5000).

Its volume is 148.21 Å³/f.u. The value obtained for the formation energy from raw total energies is -179 kJ/mol of formula units.

# 4
Material: CsSiSeBr2
Method: DFT, PBE
State: relaxed

It has space group P4/mmm (No. 123), with a = 5.5668 Å, b = 5.5668 Å, c = 4.8962 Å, α = 90.00°, β = 90.00° and γ = 90.00°. The asymmetric unit holds Cs at (0.0000, 0.0000, 0.0000), Si at (0.5000, 0.5000, 0.5000), Se at (0.5000, 0.5000, 0.0000) and Br at (0.0000, 0.5000, 0.5000).

Its volume is 151.73 Å³/f.u. The value obtained for the formation energy from raw total energies is -334 kJ/mol of formula units.

# 5
Material: CsSiSe2Br
Method: DFT, PBE
State: relaxed

It has space group P4/mmm (No. 123), with a = 5.7054 Å, b = 5.7054 Å, c = 6.3405 Å, α = 90.00°, β = 90.00° and γ = 90.00°. The asymmetric unit holds Cs at (0.0000, 0.0000, 0.0000), Si at (0.5000, 0.5000, 0.5000), Se at (0.0000, 0.5000, 0.0000) and Br at (0.0000, 0.0000, 0.5000).

Its volume is 206.39 Å³/f.u. The value obtained for the formation energy from raw total energies is 530 kJ/mol of formula units.

# 6
Material: CsSiSe2Br
Method: DFT, PBE
State: relaxed

It has space group P4/mmm (No. 123), with a = 4.9614 Å, b = 4.9614 Å, c = 5.8763 Å, α = 90.00°, β = 90.00° and γ = 90.00°. The asymmetric unit holds Cs at (0.0000, 0.0000, 0.0000), Si at (0.5000, 0.5000, 0.5000), Se at (0.0000, 0.5000, 0.5000) and Br at (0.5000, 0.5000, 0.0000).

Its volume is 144.65 Å³/f.u. The value obtained for the formation energy from raw total energies is -245 kJ/mol of formula units.

# 7
Material: CsSiSeBr2
Method: DFT, PBE
State: relaxed

It has space group P4/mmm (No. 123), with a = 6.4762 Å, b = 6.4762 Å, c = 5.8553 Å, α = 90.00°, β = 90.00° and γ = 90.00°. The asymmetric unit holds Cs at (0.0000, 0.0000, 0.0000), Si at (0.5000, 0.5000, 0.5000), Se at (0.0000, 0.0000, 0.5000) and Br at (0.0000, 0.5000, 0.0000).

Its volume is 245.58 Å³/f.u. The value obtained for the formation energy from raw total energies is 360 kJ/mol of formula units.

# 8
Material: Cs2SiSeBr6
Method: DFT, PBE
State: relaxed

It has space group I4/mmm (No. 139), with a = 7.6517 Å, b = 7.6517 Å, c = 11.6423 Å, α = 90.00°, β = 90.00° and γ = 90.00°. The asymmetric unit holds Cs at (0.0000, 0.5000, 0.2500), Si at (0.0000, 0.0000, 0.0000), Se at (0.0000, 0.0000, 0.5000), Br at (0.0000, 0.0000, 0.2160) and Br at (0.2353, 0.2353, 0.0000).

Its volume is 340.82 Å³/f.u. The value obtained for the formation energy from raw total energies is -829 kJ/mol of formula units.

# 9
Material: CsSnSe2Br
Method: DFT, PBE
State: relaxed

It has space group P4/mmm (No. 123), with a = 5.7379 Å, b = 5.7379 Å, c = 6.2496 Å, α = 90.00°, β = 90.00° and γ = 90.00°. The asymmetric unit holds Cs at (0.0000, 0.0000, 0.0000), Sn at (0.5000, 0.5000, 0.5000), Se at (0.0000, 0.5000, 0.0000) and Br at (0.0000, 0.0000, 0.5000).

Its volume is 205.76 Å³/f.u. The value obtained for the formation energy from raw total energies is 258 kJ/mol of formula units.

# 10
Material: CsSnSe2Br
Method: DFT, PBE
State: relaxed

It has space group P4/mmm (No. 123), with a = 5.3591 Å, b = 5.3591 Å, c = 5.9963 Å, α = 90.00°, β = 90.00° and γ = 90.00°. The asymmetric unit holds Cs at (0.0000, 0.0000, 0.0000), Sn at (0.5000, 0.5000, 0.5000), Se at (0.0000, 0.5000, 0.5000) and Br at (0.5000, 0.5000, 0.0000).

Its volume is 172.21 Å³/f.u. The value obtained for the formation energy from raw total energies is -324 kJ/mol of formula units.

# 11
Material: CsSrSeBr
Method: DFT, PBE
State: relaxed

It has space group R3m (No. 160, hexagonal axes), with a = 4.6255 Å, b = 4.6255 Å, c = 25.5808 Å, α = 90.00°, β = 90.00° and γ = 120.00°. The asymmetric unit holds Cs at (0.0000, 0.0000, 0.0000), Sr at (0.0000, 0.0000, 0.1830), Se at (0.0000, 0.0000, 0.5742) and Br at (0.0000, 0.0000, 0.7730).

Its volume is 158.00 Å³/f.u. The value obtained for the formation energy from raw total energies is -695 kJ/mol of formula units.

# 12
Material: CsSrSe2Br
Method: DFT, PBE
State: relaxed

It has space group P4/mmm (No. 123), with a = 5.7453 Å, b = 5.7453 Å, c = 6.2573 Å, α = 90.00°, β = 90.00° and γ = 90.00°. The asymmetric unit holds Cs at (0.0000, 0.0000, 0.0000), Sr at (0.5000, 0.5000, 0.5000), Se at (0.0000, 0.5000, 0.0000) and Br at (0.0000, 0.0000, 0.5000).

Its volume is 206.54 Å³/f.u. The value obtained for the formation energy from raw total energies is -168 kJ/mol of formula units.